[1]
Here is a geometry-optimized La2TlCl structure from Alexandria via LeMat-Bulk. Energies are from PBE.

Cell lengths 6.9510, 6.9510, 6.9510 Å; angles 142.39, 142.39, 54.24 degrees
Site moments in Bohr magnetons follow the coordinates.
Sites, in units of the cell vectors:
Cl 0.7500 0.2500 0.5000  0.01
La 0.0000 0.0000 0.0000  0.16
La 0.2500 0.7500 0.5000  0.19
Tl 0.5000 0.5000 0.0000  -0.01

Results
Final energy   -4.15 eV/atom
N(E_F)   4.714 states/eV per cell
Magnetic moment   0.76 μB per cell

---

[2]
Here is a geometry-optimized MnTlVCl6 structure from Alexandria via LeMat-Bulk. Energies are from PBE.

Cell lengths 6.4525, 6.4525, 7.0903 Å; angles 90.00, 90.00, 60.00 degrees
Site moments in Bohr magnetons follow the coordinates.
Sites, in units of the cell vectors:
Cl 0.6344 0.3798 0.6954  0.01
Cl 0.9858 0.6345 0.6954  0.01
Cl 0.6344 0.9858 0.3045  0.01
Cl 0.9858 0.3797 0.3045  0.01
Cl 0.3797 0.6344 0.3046  0.01
Cl 0.3797 0.9858 0.6954  0.01
Mn 0.3333 0.3333 0.5000  4.38
V 0.6666 0.6667 0.5000  1.94
Tl 0.0000 0.0000 0.0000  0.01

Results
Final energy   -4.67 eV/atom
N(E_F)   8.995 states/eV per cell
Magnetic moment   7.00 μB per cell

---

no.,formation energy from raw total energies (meV/atom)
1,-629
2,-1143